Computed, not measured: a relaxed structure of Pr2Nd6In at the PBE level of DFT.

Results
E above lowest polymorph: 0 meV per atom
Formation energy: -0.070 eV/atom
E: -83.1 eV for the cell shown

Structure (POSCAR):
```
Pr2Nd6In
1.0
10.985 0.000 0.000
0.000 10.985 0.000
0.000 0.000 5.061
Pr Nd In
4 12 2
direct
0.160 0.160 0.000
0.340 0.660 0.500
0.660 0.340 0.500
0.840 0.840 0.000
0.000 0.333 0.500
0.000 0.667 0.500
0.160 0.840 0.000
0.167 0.500 0.000
0.333 0.000 0.500
0.340 0.340 0.500
0.500 0.167 0.000
0.500 0.833 0.000
0.660 0.660 0.500
0.667 0.000 0.500
0.833 0.500 0.000
0.840 0.160 0.000
0.000 0.000 0.500
0.500 0.500 0.000
```